1.
DFT (PBE) results for crystalline AlIrRuN2 at its relaxed geometry.

Unit cell a=3.6600 b=5.1419 c=3.6600 alpha=90.00 beta=90.00 gamma=90.00
Fractional coordinates of all 5 atoms:
Ir  0.5000  0.5000  0.5000
N  0.5000  0.0000  0.0000
N  0.0000  0.0000  0.5000
Al  0.0000  0.0000  0.0000
Ru  0.0000  0.5000  0.0000

Results
M_tot ... 2.961 μB per cell
E ... -6.184 eV/atom
Density ... 8.397 g/cm3


2.
DFT (PBE) results for crystalline Th2FeSi5 at its relaxed geometry.

Unit cell a=6.0805 b=6.0805 c=6.0805 alpha=85.26 beta=122.77 gamma=122.77
Fractional coordinates of all 8 atoms:
Si  0.0000  0.2682  0.7053
Si  0.0000  0.7053  0.2682
Si  0.4370  0.7053  0.7053
Si  0.5629  0.2682  0.2682
Si  0.0000  0.2854  0.2854
Fe  0.0000  0.0313  0.0313
Th  0.5000  0.7291  0.2291
Th  0.5000  0.2291  0.7291

Results
M_tot ... 0.000 μB per cell
E ... -6.740 eV/atom
Density ... 7.226 g/cm3


3.
DFT (PBE) results for crystalline LiTc2Sb at its relaxed geometry.

Unit cell a=3.1864 b=3.1599 c=6.8279 alpha=62.46 beta=90.00 gamma=90.00
Fractional coordinates of all 4 atoms:
Sb  0.5000  0.7634  0.7368
Tc  0.5000  0.2362  0.2634
Tc  0.0000  0.9821  0.0179
Li  0.0000  0.5183  0.4819

Results
M_tot ... 0.000 μB per cell
E ... -6.616 eV/atom
Density ... 8.845 g/cm3


4.
DFT (PBE) results for crystalline SmEuAs at its relaxed geometry.

Unit cell a=6.8667 b=4.1728 c=4.1728 alpha=120.00 beta=90.00 gamma=90.00
Fractional coordinates of all 3 atoms:
Eu  0.5878  0.6667  0.3333
Sm  0.0923  0.0000  0.0000
As  0.3199  0.3333  0.6667

Results
M_tot ... 7.714 μB per cell
Calculated formation energy ... -0.8294 eV/atom
Density ... 6.050 g/cm3